one) # Ca2ZrTa

Crystalline Ca2ZrTa at its relaxed geometry (PBE, the Alexandria database).

abc: 3.171 3.171 10.906
angles: 90.00 90.00 90.00
Positions (direct):
Ca 0.000 0.000 0.000
Ca 0.500 0.500 0.305
Zr 0.500 0.500 0.727
Ta 0.000 0.000 0.539

Properties
M_tot in μB/f.u.: 0.00
N(E_F) in states/eV per cell: 6.8
Calculated density in kg/m3: 5334

***

two) # Ca2ZrTa

Crystalline Ca2ZrTa at its relaxed geometry (PBE, the Alexandria database).

abc: 10.053 3.154 6.928
angles: 90.00 93.88 90.00
Positions (direct):
Ca 0.000 0.000 0.000
Ca 0.238 0.000 0.691
Ca 0.500 0.500 0.000
Ca 0.738 0.500 0.691
Zr 0.254 0.500 0.277
Zr 0.754 0.000 0.277
Ta 0.488 0.000 0.413
Ta 0.988 0.500 0.413

Properties
M_tot in μB/f.u.: 0.00
N(E_F) in states/eV per cell: 8.1
Calculated density in kg/m3: 5339

***

Which structure is the most stable? The one labeled one).

***

one) # Ca2Tb

Crystalline Ca2Tb at its relaxed geometry (PBE, the Alexandria database).

abc: 10.374 6.005 3.565
angles: 90.00 90.23 90.00
Positions (direct):
Ca 0.167 0.000 0.353
Ca 0.333 0.500 0.647
Ca 0.667 0.500 0.353
Ca 0.833 0.000 0.647
Tb 0.000 0.500 0.000
Tb 0.500 0.000 0.000

Properties
M_tot in μB/f.u.: 0.00
N(E_F) in states/eV per cell: 7.7
Calculated density in kg/m3: 3575

***

two) # Ca2Tb

Crystalline Ca2Tb at its relaxed geometry (PBE, the Alexandria database).

abc: 3.744 3.744 16.300
angles: 90.00 90.00 90.00
Positions (direct):
Ca 0.000 0.000 0.160
Ca 0.000 0.000 0.840
Ca 0.500 0.500 0.340
Ca 0.500 0.500 0.660
Tb 0.000 0.000 0.500
Tb 0.500 0.500 0.000

Properties
M_tot in μB/f.u.: 0.98
N(E_F) in states/eV per cell: 10.0
Calculated density in kg/m3: 3475

***

three) # Ca2Tb

Crystalline Ca2Tb at its relaxed geometry (PBE, the Alexandria database).

abc: 6.938 6.938 6.938
angles: 60.00 60.00 60.00
Positions (direct):
Ca 0.000 0.000 0.000
Ca 0.000 0.000 0.500
Ca 0.000 0.500 0.000
Ca 0.500 0.000 0.000
Tb 0.375 0.375 0.375
Tb 0.625 0.625 0.625

Properties
M_tot in μB/f.u.: 1.28
N(E_F) in states/eV per cell: 10.6
Calculated density in kg/m3: 3363

***

Which structure is the most stable? The one labeled two).

***

one) # CaTb2

Crystalline CaTb2 at its relaxed geometry (PBE, the Alexandria database).

abc: 6.752 6.752 6.752
angles: 60.00 60.00 60.00
Positions (direct):
Ca 0.125 0.125 0.125
Ca 0.875 0.875 0.875
Tb 0.000 0.500 0.500
Tb 0.500 0.000 0.500
Tb 0.500 0.500 0.000
Tb 0.500 0.500 0.500

Properties
M_tot in μB/f.u.: 0.00
N(E_F) in states/eV per cell: 8.9
Calculated density in kg/m3: 5462

***

two) # CaTb2

Crystalline CaTb2 at its relaxed geometry (PBE, the Alexandria database).

abc: 3.644 3.644 15.597
angles: 90.00 90.00 90.00
Positions (direct):
Ca 0.000 0.000 0.000
Ca 0.500 0.500 0.500
Tb 0.000 0.000 0.324
Tb 0.000 0.000 0.676
Tb 0.500 0.500 0.176
Tb 0.500 0.500 0.824

Properties
M_tot in μB/f.u.: 0.00
N(E_F) in states/eV per cell: 8.2
Calculated density in kg/m3: 5741

***

Which structure is the most stable? The one labeled two).

***

one) # CaTb2Tc

Crystalline CaTb2Tc at its relaxed geometry (PBE, the Alexandria database).

abc: 3.564 3.564 32.632
angles: 90.00 90.00 120.00
Positions (direct):
Ca 0.000 0.000 0.000
Ca 0.333 0.667 0.667
Ca 0.667 0.333 0.333
Tb 0.000 0.000 0.107
Tb 0.000 0.000 0.893
Tb 0.333 0.667 0.560
Tb 0.333 0.667 0.774
Tb 0.667 0.333 0.226
Tb 0.667 0.333 0.440
Tc 0.000 0.000 0.500
Tc 0.333 0.667 0.167
Tc 0.667 0.333 0.833

Properties
M_tot in μB/f.u.: 0.00
N(E_F) in states/eV per cell: 15.5
Calculated density in kg/m3: 6326

***

two) # CaTb2Tc

Crystalline CaTb2Tc at its relaxed geometry (PBE, the Alexandria database).

abc: 3.512 3.512 9.276
angles: 90.00 90.00 90.00
Positions (direct):
Ca 0.000 0.000 0.000
Tb 0.500 0.500 0.326
Tb 0.500 0.500 0.674
Tc 0.000 0.000 0.500

Properties
M_tot in μB/f.u.: 0.00
N(E_F) in states/eV per cell: 6.0
Calculated density in kg/m3: 6619

***

Which structure is the most stable? The one labeled two).

***

one) # CaTbTe2

Crystalline CaTbTe2 at its relaxed geometry (PBE, the Alexandria database).

abc: 9.892 9.892 7.642
angles: 104.87 104.87 126.68
Positions (direct):
Ca 0.062 0.938 0.750
Ca 0.187 0.813 0.250
Ca 0.813 0.187 0.750
Ca 0.938 0.062 0.250
Tb 0.312 0.688 0.750
Tb 0.437 0.563 0.250
Tb 0.563 0.437 0.750
Tb 0.688 0.312 0.250
Te 0.063 0.438 0.251
Te 0.192 0.317 0.752
Te 0.317 0.192 0.252
Te 0.438 0.063 0.751
Te 0.562 0.937 0.249
Te 0.683 0.808 0.748
Te 0.808 0.683 0.248
Te 0.937 0.562 0.749

Properties
M_tot in μB/f.u.: 0.00
N(E_F) in states/eV per cell: 6.9
Calculated density in kg/m3: 6133

***

two) # CaTbTe2

Crystalline CaTbTe2 at its relaxed geometry (PBE, the Alexandria database).

abc: 4.317 4.317 23.266
angles: 90.00 90.00 120.00
Positions (direct):
Ca 0.000 0.000 0.000
Ca 0.333 0.667 0.667
Ca 0.667 0.333 0.333
Tb 0.000 0.000 0.172
Tb 0.333 0.667 0.839
Tb 0.667 0.333 0.506
Te 0.000 0.000 0.584
Te 0.000 0.000 0.757
Te 0.333 0.667 0.251
Te 0.333 0.667 0.423
Te 0.667 0.333 0.090
Te 0.667 0.333 0.917

Properties
M_tot in μB/f.u.: 0.00
N(E_F) in states/eV per cell: 7.8
Calculated density in kg/m3: 6026

***

Which structure is the most stable? The one labeled one).

***

one) # CaTb2Te4

Crystalline CaTb2Te4 at its relaxed geometry (PBE, the Alexandria database).

abc: 7.509 7.509 15.182
angles: 90.00 90.00 146.27
Positions (direct):
Ca 0.115 0.885 0.750
Ca 0.885 0.115 0.250
Tb 0.365 0.635 0.570
Tb 0.365 0.635 0.930
Tb 0.635 0.365 0.070
Tb 0.635 0.365 0.430
Te 0.000 0.000 0.000
Te 0.000 0.000 0.500
Te 0.276 0.724 0.119
Te 0.276 0.724 0.381
Te 0.458 0.542 0.750
Te 0.542 0.458 0.250
Te 0.724 0.276 0.619
Te 0.724 0.276 0.881

Properties
M_tot in μB/f.u.: 0.00
Calculated density in kg/m3: 6067

***

two) # CaTb2Te4

Crystalline CaTb2Te4 at its relaxed geometry (PBE, the Alexandria database).

abc: 8.541 8.541 8.541
angles: 110.05 110.05 108.32
Positions (direct):
Ca 0.000 0.000 0.000
Ca 0.750 0.250 0.500
Tb 0.347 0.625 0.222
Tb 0.375 0.597 0.722
Tb 0.403 0.125 0.778
Tb 0.875 0.653 0.278
Te 0.052 0.381 0.284
Te 0.097 0.767 0.716
Te 0.131 0.302 0.784
Te 0.233 0.948 0.330
Te 0.517 0.347 0.216
Te 0.619 0.903 0.670
Te 0.653 0.869 0.170
Te 0.698 0.483 0.830

Properties
M_tot in μB/f.u.: 0.00
Calculated density in kg/m3: 6014

***

Which structure is the most stable? The one labeled one).